Record 1
DFT (PBE) results for a relaxed structure of TiAgAs2Se.

Summary:
Its total energy is -22.96 eV per cell. As for the symmetry: P4/mmm, No. 123. The calculation puts the energy relative to the elements, uncorrected at 55 kJ/mol of formula units. The energy above the lowest structure with this stoichiometry comes out at 0.0 meV per atom.

a = 4.9102 Å, b = 4.9102 Å, c = 4.9178 Å
α = 90.00°, β = 90.00°, γ = 90.00°
Last column: nearest neighbours and their distance in Å.
Positions (direct):
Ti1 0.0000 0.0000 0.0000  4 As 2.46, 2 Se 2.46
Ag1 0.5000 0.5000 0.5000  4 Se 3.47, 8 As 3.47
As1 0.0000 0.5000 0.0000  2 Ti 2.46
As2 0.5000 0.0000 0.0000  2 Ti 2.46
Se1 0.0000 0.0000 0.5000  2 Ti 2.46

***

Record 2
DFT (PBE) results for a relaxed structure of Na3CeTm2O6.

Summary:
Its total energy is -81.69 eV per cell. As for the symmetry: C2/m, No. 12. The calculation puts the energy relative to the elements, uncorrected at -3194 kJ/mol of formula units.

a = 5.9696 Å, b = 5.9696 Å, c = 5.9354 Å
α = 99.60°, β = 99.60°, γ = 120.03°
Last column: nearest neighbours and their distance in Å.
Positions (direct):
Na1 0.0000 0.0000 0.0000  6 O 2.50-2.60
Na2 0.3286 0.6714 0.0000  6 O 2.48-2.63
Na3 0.6714 0.3286 0.0000  6 O 2.48-2.63
Ce1 0.5000 0.5000 0.5000  6 O 2.38-2.39
Tm1 0.1665 0.8335 0.5000  6 O 2.27-2.28
Tm2 0.8335 0.1665 0.5000  6 O 2.27-2.28
O1 0.0832 0.4305 0.2904  2 Tm 2.27-2.28, 1 Ce 2.38, 1 Na 2.48
O2 0.2225 0.2225 0.7109  2 Tm 2.28, 1 Ce 2.39, 1 Na 2.50
O3 0.4305 0.0832 0.2904  2 Tm 2.27-2.28, 1 Ce 2.38, 1 Na 2.48
O4 0.5695 0.9168 0.7096  2 Tm 2.27-2.28, 1 Ce 2.38, 1 Na 2.48
O5 0.7775 0.7775 0.2891  2 Tm 2.28, 1 Ce 2.39, 1 Na 2.50
O6 0.9168 0.5695 0.7096  2 Tm 2.27-2.28, 1 Ce 2.38, 1 Na 2.48

***

Record 3
DFT (PBE) results for a relaxed structure of HfRuO2F.

Summary:
Its total energy is -39.30 eV per cell. As for the symmetry: P4/mmm, No. 123. The calculation puts the energy relative to the elements, uncorrected at -799 kJ/mol of formula units.

a = 4.1297 Å, b = 4.1297 Å, c = 4.0946 Å
α = 90.00°, β = 90.00°, γ = 90.00°
Last column: nearest neighbours and their distance in Å.
Positions (direct):
Hf1 0.0000 0.0000 0.0000  2 F 2.05, 4 O 2.06
Ru1 0.5000 0.5000 0.5000  8 O 2.91, 4 F 2.92
O1 0.0000 0.5000 0.0000  2 Hf 2.06
O2 0.5000 0.0000 0.0000  2 Hf 2.06
F1 0.0000 0.0000 0.5000  2 Hf 2.05

***

Record 4
DFT (PBE) results for a relaxed structure of Ho2ErMg2.

Summary:
Its total energy is -34.43 eV per cell. As for the symmetry: Cmcm, No. 63. The calculation puts the energy relative to the elements at -0.31 eV/f.u. The energy above the lowest structure with this stoichiometry comes out at 0.0 meV per atom.

a = 13.9898 Å, b = 13.9898 Å, c = 5.3990 Å
α = 90.00°, β = 90.00°, γ = 164.80°
Last column: nearest neighbours and their distance in Å.
Positions (direct):
Ho1 0.0438 0.9562 0.7500  8 Mg 3.24-3.29, 2 Ho 3.63
Ho2 0.2372 0.7628 0.7500  2 Mg 3.27, 4 Ho 3.35, 4 Er 3.58
Ho3 0.7628 0.2372 0.2500  2 Mg 3.27, 4 Ho 3.35, 4 Er 3.58
Ho4 0.9562 0.0438 0.2500  8 Mg 3.24-3.29, 2 Ho 3.63
Er1 0.1523 0.8477 0.2500  6 Mg 3.29, 4 Ho 3.58
Er2 0.8477 0.1523 0.7500  6 Mg 3.29, 4 Ho 3.58
Mg1 0.3601 0.6399 0.2500  4 Ho 3.24-3.27, 4 Er 3.29, 2 Mg 3.59
Mg2 0.4455 0.5545 0.7500  2 Er 3.29, 6 Ho 3.29, 2 Mg 3.59
Mg3 0.5545 0.4455 0.2500  2 Er 3.29, 6 Ho 3.29, 2 Mg 3.59
Mg4 0.6399 0.3601 0.7500  4 Ho 3.24-3.27, 4 Er 3.29, 2 Mg 3.59

***

Record 5
DFT (PBE) results for a relaxed structure of Pu2MgSn9.

Summary:
Its total energy is -68.70 eV per cell. As for the symmetry: P2/m, No. 10. The calculation puts the energy relative to the elements at -2.41 eV/f.u.

a = 6.4201 Å, b = 5.0558 Å, c = 9.6190 Å
α = 90.00°, β = 94.35°, γ = 90.00°
Last column: nearest neighbours and their distance in Å.
Positions (direct):
Pu1 0.2333 0.0000 0.3203  12 Sn 3.19-3.47
Pu2 0.7667 0.0000 0.6797  12 Sn 3.19-3.47
Mg1 0.5000 0.0000 0.0000  6 Sn 3.01-3.21
Sn1 0.0000 0.0000 0.0000  4 Sn 3.08, 2 Mg 3.21, 2 Pu 3.32
Sn2 0.0000 0.5000 0.5000  8 Sn 3.10-3.41, 4 Pu 3.47
Sn3 0.0548 0.5000 0.8233  7 Sn 3.07-3.35, 2 Pu 3.37
Sn4 0.2697 0.0000 0.6694  3 Pu 3.19-3.35, 8 Sn 3.29-3.41, 1 Mg 3.40
Sn5 0.4661 0.5000 0.1668  2 Mg 3.01, 6 Sn 3.07-3.37, 2 Pu 3.34
Sn6 0.5000 0.5000 0.5000  8 Sn 3.20-3.41, 4 Pu 3.44
Sn7 0.5339 0.5000 0.8332  2 Mg 3.01, 6 Sn 3.07-3.37, 2 Pu 3.34
Sn8 0.7303 0.0000 0.3306  3 Pu 3.19-3.35, 8 Sn 3.29-3.41, 1 Mg 3.40
Sn9 0.9452 0.5000 0.1767  7 Sn 3.07-3.35, 2 Pu 3.37

***

Record 6
DFT (PBE) results for a relaxed structure of Nd2SmPb2.

Summary:
Its total energy is -47.59 eV per cell. As for the symmetry: C2/m, No. 12. The calculation puts the energy relative to the elements at -2.12 eV/f.u. The energy above the lowest structure with this stoichiometry comes out at 0.0 meV per atom.

a = 7.0121 Å, b = 7.0121 Å, c = 11.1716 Å
α = 114.25°, β = 114.25°, γ = 41.40°
Last column: nearest neighbours and their distance in Å.
Positions (direct):
Nd1 0.0074 0.0074 0.1755  6 Pb 3.32-3.59
Nd2 0.1822 0.1822 0.5838  4 Pb 3.27-3.50
Nd3 0.8178 0.8178 0.4162  4 Pb 3.27-3.50
Nd4 0.9926 0.9926 0.8245  6 Pb 3.32-3.59
Sm1 0.2887 0.2887 0.1605  4 Pb 3.09-3.23
Sm2 0.7113 0.7113 0.8395  4 Pb 3.09-3.23
Pb1 0.3672 0.3672 0.9243  3 Sm 3.09-3.23, 1 Pb 3.13, 2 Nd 3.42
Pb2 0.4549 0.4549 0.6112  1 Pb 3.19, 1 Sm 3.21, 5 Nd 3.27-3.45
Pb3 0.5451 0.5451 0.3888  1 Pb 3.19, 1 Sm 3.21, 5 Nd 3.27-3.45
Pb4 0.6328 0.6328 0.0757  3 Sm 3.09-3.23, 1 Pb 3.13, 2 Nd 3.42